Pm4HoCu4: optimized geometry, PBE.

Structure (extended XYZ):
```
18
Lattice="8.4655 0.0000 0.0000 0.0000 8.4655 0.0000 0.0000 0.0000 6.3820" Properties=species:S:1:pos:R:3 pbc="T T T"
Pm 0.3657 5.5946 0.9665
Pm 1.3618 8.0998 4.1575
Pm 2.8709 4.5985 4.1575
Pm 3.8671 7.1037 0.9665
Pm 4.5985 1.3618 5.4156
Pm 5.5946 3.8671 2.2246
Pm 7.1037 0.3657 2.2246
Pm 8.0998 2.8709 5.4156
Ho 2.1164 2.1164 1.5955
Ho 6.3491 6.3491 4.7865
Cu 0.1458 5.3169 3.8262
Cu 1.0841 8.3197 0.6351
Cu 3.1486 4.3786 0.6351
Cu 4.0870 7.3814 3.8262
Cu 4.3786 1.0841 2.5559
Cu 5.3169 4.0870 5.7469
Cu 7.3814 0.1458 5.7469
Cu 8.3197 3.1486 2.5559
```

## Properties
Uncorrected energy   -4.46 eV per atom
Formation energy from the elements   -0.0179 eV/atom
Volume   457 Å³/cell
Space group   P4_2/n (86)